1.
VASP calculation (meta-GGA SCAN) on a crystal of CuBiPtS3 relaxed with PBEsol.

Cell and atoms, written as POSCAR:
```
CuBiPtS3
1.0
4.8827 0.0000 0.0000
0.0000 7.6824 0.0000
0.0000 0.0000 12.5024
Cu Bi Pt S
4 4 4 12
direct
0.4769 0.8857 0.4415
0.9769 0.6143 0.5585
0.5231 0.3857 0.0585
0.0231 0.1143 0.9415
0.3894 0.8854 0.1323
0.8894 0.6146 0.8677
0.6106 0.3854 0.3677
0.1106 0.1146 0.6323
0.0047 0.6361 0.2488
0.5047 0.8639 0.7512
0.9953 0.1361 0.2512
0.4953 0.3639 0.7488
0.7560 0.6318 0.0885
0.2560 0.8682 0.9115
0.2440 0.1318 0.4115
0.7440 0.3682 0.5885
0.7583 0.8843 0.2970
0.2583 0.6157 0.7030
0.2417 0.3843 0.2030
0.7417 0.1157 0.7970
0.2371 0.6398 0.4121
0.7371 0.8602 0.5879
0.7629 0.1398 0.0879
0.2629 0.3602 0.9121
```

Results
Crystal system   orthorhombic
Size of the total moment   0.0 μB per cell
Formation energy from raw total energies   -0.42 eV per atom
SG   No. 19

2.
VASP calculation (meta-GGA SCAN) on a crystal of TiCuBiPt2 relaxed with PBEsol.

Cell and atoms, written as POSCAR:
```
TiCuBiPt2
1.0
4.5976 0.0000 0.0000
0.0000 4.5976 0.0000
0.0000 0.0000 4.7227
Cu Bi Pt Ti
1 1 2 1
direct
0.0000 0.0000 0.0000
0.0000 0.0000 0.5000
0.0000 0.5000 0.0000
0.5000 0.0000 0.0000
0.5000 0.5000 0.5000
```

Results
Crystal system   tetragonal
Energy of formation   3.11 eV/f.u.
Size of the total moment   1.3 μB per cell
SG   No. 123

Question: size of the total moment of number 2 (TiCuBiPt2)?
Answer: 1.3 μB per cell

Question: Which formula does entry 1 have?
Answer: CuBiPtS3